Record 1
A relaxed structure of BaNa2TlCl8. Source: Alexandria, functional PBE.

Cell: 6.2735 6.3202 9.0009 Å, 89.91 89.98 89.90°
Atoms (fractional coordinates):
Ba: 0.0000 0.0000 0.5000
Na: 0.4999 0.4995 0.7684
Na: 0.5001 0.5005 0.2316
Tl: 0.0000 0.0000 0.0000
Cl: 0.1306 0.7509 0.2156
Cl: 0.6382 0.7831 0.9996
Cl: 0.8686 0.2486 0.2151
Cl: 0.8694 0.2491 0.7844
Cl: 0.3618 0.2169 0.0004
Cl: 0.1314 0.7514 0.7849
Cl: 0.5515 0.7519 0.5000
Cl: 0.4485 0.2481 0.5000

Total magnetization (μB/atom): 0.09
Formation energy without anion corrections (eV per atom): -1.351
Calculated volume (Å³ per atom): 29.7
Uncorrected energy (eV/cell): -37.92
Density (g/cm3): 3.12



Record 2
A relaxed structure of Te2PtI. Source: Alexandria, functional PBE.

Cell: 4.1196 4.1196 8.4879 Å, 90.00 90.00 120.00°
Atoms (fractional coordinates):
I: 0.3333 0.6667 0.4448
Te: 0.3333 0.6667 0.8488
Te: 0.6667 0.3333 0.1610
Pt: 0.0000 0.0000 0.0004

Total magnetization (μB/atom): 0.00
Formation energy without anion corrections (eV per atom): -0.286
Calculated volume (Å³ per atom): 31.2
Uncorrected energy (eV/cell): -15.02
Density (g/cm3): 7.68



Record 3
A relaxed structure of Al7Ag. Source: Alexandria, functional PBE.

Cell: 2.9299 18.0089 2.9299 Å, 94.67 60.00 94.67°
Atoms (fractional coordinates):
Ag: 0.0000 0.0000 0.0000
Al: 0.3753 0.1258 0.3753
Al: 0.7503 0.2509 0.7503
Al: 0.1253 0.3759 0.1253
Al: 0.5000 0.5000 0.5000
Al: 0.8747 0.6241 0.8747
Al: 0.2497 0.7491 0.2497
Al: 0.6247 0.8742 0.6247

Total magnetization (μB/atom): 0.00
Calculated volume (Å³ per atom): 16.7
Uncorrected energy (eV/cell): -29.14
Energy relative to the elements (eV/atom): -0.011
Offset from the most stable computed form (eV per formula unit): 0.00
Density (g/cm3): 3.70



Record 4
A relaxed structure of La12TbNd7. Source: Alexandria, functional PBE.

Cell: 6.4580 11.6254 11.6254 Å, 116.65 100.67 100.67°
Atoms (fractional coordinates):
La: 0.0933 0.5926 0.1852
La: 0.0918 0.1852 0.5925
La: 0.5702 0.6443 0.0003
La: 0.4301 0.0003 0.3560
La: 0.4993 0.4075 0.5926
La: 0.0741 0.6440 0.6443
La: 0.9259 0.3560 0.3557
La: 0.5007 0.5925 0.4074
La: 0.5699 0.9997 0.6440
La: 0.4298 0.3557 0.9997
La: 0.9082 0.8148 0.4075
La: 0.9067 0.4074 0.8148
Tb: 0.0000 0.0000 0.0000
Nd: 0.1167 0.7476 0.0001
Nd: 0.8834 0.0001 0.2525
Nd: 0.6309 0.7475 0.7476
Nd: 0.5000 0.0000 0.0000
Nd: 0.3691 0.2525 0.2524
Nd: 0.1166 0.9999 0.7475
Nd: 0.8833 0.2524 0.9999

Total magnetization (μB/atom): 0.00
Calculated volume (Å³ per atom): 36.5
Uncorrected energy (eV/cell): -93.66
Energy relative to the elements (eV/atom): 0.174
Offset from the most stable computed form (eV per formula unit): 0.00
Density (g/cm3): 6.45